(1)
VASP calculation (GGA-PBE) on a geometry-optimized SrFe2Os structure.

a b c (Å): 5.796 5.796 5.796
angles (deg): 150.84 126.83 61.79
Fractional positions:
Fe  0.544  0.544  0.000
Fe  0.956  0.956  0.000
Os  0.750  0.250  0.500
Sr  0.250  0.750  0.500

Properties
Space group: Immm
Relative energy among the computed polymorphs, meV per atom: 518.2

(2)
VASP calculation (GGA-PBE) on a geometry-optimized SrFeOs2 structure.

a b c (Å): 2.894 4.710 4.992
angles (deg): 90.00 90.00 90.00
Fractional positions:
Os  0.500  0.500  0.000
Os  0.000  0.000  0.000
Fe  0.000  0.500  0.500
Sr  0.500  0.000  0.500

Properties
Space group: Pmmm
Relative energy among the computed polymorphs, meV per atom: 699.9

(3)
VASP calculation (GGA-PBE) on a geometry-optimized SrFeOs2 structure.

a b c (Å): 4.555 4.555 3.348
angles (deg): 90.00 90.00 90.00
Fractional positions:
Os  0.000  0.000  0.000
Os  0.500  0.500  0.000
Sr  0.500  0.000  0.500
Fe  0.000  0.500  0.500

Properties
Space group: P4/mmm
Relative energy among the computed polymorphs, meV per atom: 1001.5

(4)
VASP calculation (GGA-PBE) on a geometry-optimized SrFeOs2 structure.

a b c (Å): 4.648 3.882 3.882
angles (deg): 90.00 90.00 90.00
Fractional positions:
Sr  0.500  0.500  0.000
Os  0.000  0.000  0.000
Os  0.000  0.500  0.500
Fe  0.500  0.000  0.500

Properties
Space group: P4/mmm
Relative energy among the computed polymorphs, meV per atom: 892.4

(5)
VASP calculation (GGA-PBE) on a geometry-optimized SrFeOs2 structure.

a b c (Å): 5.798 5.798 5.798
angles (deg): 151.06 127.81 60.78
Fractional positions:
Os  0.790  0.290  0.500
Os  0.001  0.001  0.000
Fe  0.210  0.710  0.500
Sr  0.499  0.499  0.000

Properties
Space group: Imm2
Relative energy among the computed polymorphs, meV per atom: 611.2

(6)
VASP calculation (GGA-PBE) on a geometry-optimized SrFeOs2 structure.

a b c (Å): 4.869 4.869 8.862
angles (deg): 74.05 74.05 90.00
Fractional positions:
Sr  0.000  0.000  0.000
Sr  0.750  0.250  0.500
Os  0.875  0.625  0.750
Os  0.375  0.625  0.250
Os  0.375  0.625  0.750
Os  0.375  0.125  0.250
Fe  0.500  0.500  0.000
Fe  0.250  0.750  0.500

Properties
Space group: I4_1/amd
Relative energy among the computed polymorphs, meV per atom: 620.8

(7)
VASP calculation (GGA-PBE) on a geometry-optimized SrFe2TcOs structure.

a b c (Å): 4.316 4.841 4.316
angles (deg): 90.00 90.00 90.00
Fractional positions:
Os  0.000  0.500  0.000
Tc  0.500  0.500  0.500
Fe  0.500  0.000  0.000
Fe  0.000  0.000  0.500
Sr  0.000  0.000  0.000

Properties
Space group: P4/mmm

(8)
VASP calculation (GGA-PBE) on a geometry-optimized SrZn2FeOs structure.

a b c (Å): 4.906 4.670 4.906
angles (deg): 90.00 90.00 90.00
Fractional positions:
Zn  0.000  0.000  0.500
Zn  0.500  0.000  0.000
Os  0.000  0.000  0.000
Sr  0.500  0.500  0.500
Fe  0.000  0.500  0.000

Properties
Space group: P4/mmm

(9)
VASP calculation (GGA-PBE) on a geometry-optimized TaFeOs4 structure.

a b c (Å): 8.490 5.187 8.464
angles (deg): 141.52 129.03 69.42
Fractional positions:
Os  0.861  0.091  0.715
Os  0.524  0.433  0.712
Os  0.476  0.567  0.288
Os  0.127  0.398  0.786
Os  0.873  0.602  0.214
Os  0.811  0.238  0.297
Os  0.139  0.909  0.285
Os  0.189  0.762  0.703
Fe  0.823  0.756  0.811
Fe  0.177  0.244  0.189
Ta  0.527  0.975  0.229
Ta  0.473  0.025  0.771

Properties
Space group: P-1
Relative energy among the computed polymorphs, meV per atom: 0.0

(10)
VASP calculation (GGA-PBE) on a geometry-optimized Ta2FeOs structure.

a b c (Å): 4.448 4.448 4.448
angles (deg): 60.00 60.00 60.00
Fractional positions:
Fe  0.000  0.000  0.000
Ta  0.750  0.750  0.750
Ta  0.250  0.250  0.250
Os  0.500  0.500  0.500

Properties
Space group: Fm-3m
Relative energy among the computed polymorphs, meV per atom: 0.0

(11)
VASP calculation (GGA-PBE) on a geometry-optimized Ta2FeOs structure.

a b c (Å): 4.441 4.441 4.441
angles (deg): 60.00 60.00 60.00
Fractional positions:
Ta  0.000  0.000  0.000
Ta  0.250  0.250  0.250
Fe  0.500  0.500  0.500
Os  0.750  0.750  0.750

Properties
Space group: F-43m
Relative energy among the computed polymorphs, meV per atom: 199.2

(12)
VASP calculation (GGA-PBE) on a geometry-optimized TaFe2Os structure.

a b c (Å): 2.703 3.660 5.410
angles (deg): 90.00 90.00 90.00
Fractional positions:
Os  0.500  0.500  0.250
Fe  0.000  0.000  0.479
Fe  0.000  0.000  0.021
Ta  0.500  0.500  0.750

Properties
Space group: Pmmm

Number 1: ΔH_f (0 K) 0.860 eV/atom. Number 2: ΔH_f (0 K) 0.995 eV/atom. Number 3: ΔH_f (0 K) 1.296 eV/atom. Number 4: ΔH_f (0 K) 1.187 eV/atom. Number 5: ΔH_f (0 K) 0.906 eV/atom. Number 6: ΔH_f (0 K) 0.915 eV/atom. Number 7: ΔH_f (0 K) 3.236 eV/atom. Number 8: ΔH_f (0 K) 0.327 eV/atom. Number 9: ΔH_f (0 K) -0.077 eV/atom. Number 10: ΔH_f (0 K) -0.263 eV/atom. Number 11: ΔH_f (0 K) -0.064 eV/atom. Number 12: ΔH_f (0 K) 0.032 eV/atom.